Here is a relaxed structure of CsBeAs2Br from Alexandria via LeMat-Bulk. Energies are from PBE.

Output
* calculated total energy: -16.0 eV per cell
* offset from the most stable computed form: 0 meV/atom
* calculated density: 3.82 Mg/m³

abc: 4.561 4.561 7.776
angles: 90.00 90.00 90.00
Fractional positions:
Cs 0.000 0.000 0.000
Be 0.500 0.500 0.500
As 0.000 0.500 0.500
As 0.500 0.000 0.500
Br 0.500 0.500 0.000